A plane-wave DFT calculation with PBE was carried out for crystalline GaBiN2 at its relaxed geometry.

Structure (POSCAR):
```
GaBiN2
1.0
-3.0370 3.9475 -1.3852
-0.1399 -1.8066 -4.8416
-5.4384 -1.5141 -2.0378
N Bi Ga
4 2 2
Cartesian
-3.0611 1.5845 -1.8827 N
-6.8487 0.8651 -6.6354 N
-2.0408 -0.7359 -3.8063 N
-5.2800 -0.4601 -4.2048 N
0.0000 0.0000 0.0000 Bi
-5.0319 1.7519 -3.2682 Bi
-1.5884 1.0705 -3.1134 Ga
-3.5834 -1.1251 -4.9964 Ga
```

Values from the calculation:
Volume in Å³/atom: 15.9
Formation energy from raw total energies in eV/atom: 0.320
Density in g/cm³: 8.01

---

A plane-wave DFT calculation with PBE was carried out for crystalline GaBiN2 at its relaxed geometry.

Structure (POSCAR):
```
GaBiN2
1.0
0.5469 -3.8018 1.8054
-2.3208 -3.3128 -1.2848
1.8224 -3.1463 -2.1890
N Ga Bi
2 1 1
Cartesian
0.0121 -2.5652 -0.4171 N
0.0363 -7.6956 -1.2513 N
0.0000 0.0000 0.0000 Ga
0.0242 -5.1304 -0.8342 Bi
```

Values from the calculation:
Volume in Å³/atom: 13.5
Formation energy from raw total energies in eV/atom: 1.257
Density in g/cm³: 9.42